# In3GeBi meta-GGA SCAN single point on PBEsol structure
data_In3GeBi
_chemical_formula_sum 'In3 Ge1 Bi1'
_cell_length_a 5.245
_cell_length_b 5.245
_cell_length_c 5.245
_cell_angle_alpha 90.00
_cell_angle_beta 90.00
_cell_angle_gamma 90.00
_space_group_name_H-M_alt 'P m -3 m'
_space_group_IT_number 221
_space_group_name_Hall '-P 4 2 3'
loop_
_atom_site_label
_atom_site_type_symbol
_atom_site_fract_x
_atom_site_fract_y
_atom_site_fract_z
_atom_site_occupancy
In1 In 0.000 0.000 0.500 1
Ge1 Ge 0.000 0.000 0.000 1
Bi1 Bi 0.500 0.500 0.500 1
# - total energy (eV per atom) = -39.2797


# In3GeBi meta-GGA SCAN single point on PBEsol structure
data_In3GeBi
_chemical_formula_sum 'In3 Ge1 Bi1'
_cell_length_a 5.761
_cell_length_b 5.761
_cell_length_c 5.761
_cell_angle_alpha 90.00
_cell_angle_beta 90.00
_cell_angle_gamma 90.00
_space_group_name_H-M_alt 'P m -3 m'
_space_group_IT_number 221
_space_group_name_Hall '-P 4 2 3'
loop_
_atom_site_label
_atom_site_type_symbol
_atom_site_fract_x
_atom_site_fract_y
_atom_site_fract_z
_atom_site_occupancy
In1 In 0.000 0.000 0.500 1
Ge1 Ge 0.500 0.500 0.500 1
Bi1 Bi 0.000 0.000 0.000 1
# - total energy (eV per atom) = -38.6648


> What is the total energy in the first record?

-39.2797 eV per atom